DFT (PBE-GGA) results for an optimized crystal structure of Tl2ZnWN.

Geometry as POSCAR:
```
Tl2ZnWN
1.0
5.566 0.000 0.000
0.000 3.371 0.000
0.000 0.000 5.566
Zn W N Tl
1 1 1 2
Cartesian
0.000 0.000 0.000 Zn
2.783 1.685 2.783 W
0.000 1.685 0.000 N
2.783 0.000 0.000 Tl
0.000 0.000 2.783 Tl
```

Summary:
calculated total energy: -4.04 eV per atom
total magnetization: 0.24 μB/atom

DFT (PBE-GGA) results for an optimized crystal structure of Y2TlN.

Geometry as POSCAR:
```
Y2TlN
1.0
1.275 -1.285 4.671
-2.306 -3.829 2.263
2.475 -4.275 0.835
N Y Tl
1 2 1
Cartesian
0.000 0.000 0.000 N
1.082 -7.041 5.827 Y
0.361 -2.347 1.942 Y
0.722 -4.694 3.885 Tl
```

Summary:
calculated total energy: -5.59 eV per atom
total magnetization: 0.00 μB/atom

DFT (PBE-GGA) results for an optimized crystal structure of Y3TlN.

Geometry as POSCAR:
```
Y3TlN
1.0
-1.289 3.619 4.149
0.563 -10.187 9.060
6.665 1.244 0.985
Y Tl N
12 4 4
Cartesian
5.634 0.312 5.138 Y
3.616 -3.781 8.305 Y
2.776 1.708 6.886 Y
3.760 -6.389 10.625 Y
2.323 -1.543 5.889 Y
6.571 -7.794 8.871 Y
3.163 -7.032 7.308 Y
2.179 1.066 3.569 Y
6.427 -5.186 6.551 Y
-0.488 -0.138 7.643 Y
-0.632 2.471 5.323 Y
0.305 -5.636 9.055 Y
3.333 0.622 0.493 Tl
-0.363 -3.284 6.604 Tl
3.614 -4.471 5.022 Tl
-0.644 1.809 2.074 Tl
6.053 -1.196 3.416 N
2.521 -5.565 8.998 N
-0.114 -4.127 10.778 N
3.417 0.241 5.196 N
```

Summary:
calculated total energy: -6.73 eV per atom
total magnetization: 0.00 μB/atom

DFT (PBE-GGA) results for an optimized crystal structure of Y3TlN.

Geometry as POSCAR:
```
Y3TlN
1.0
0.000 6.460 6.460
6.460 0.000 6.460
6.460 6.460 0.000
Y Tl N
12 4 4
Cartesian
6.460 6.460 2.423 Y
6.460 6.460 10.498 Y
5.653 3.230 3.230 Y
10.498 6.460 6.460 Y
3.230 0.807 3.230 Y
2.423 6.460 6.460 Y
0.807 3.230 3.230 Y
3.230 3.230 0.807 Y
6.460 2.423 6.460 Y
3.230 3.230 5.653 Y
3.230 5.653 3.230 Y
6.460 10.498 6.460 Y
8.075 4.845 4.845 Tl
4.845 8.075 4.845 Tl
4.845 4.845 8.075 Tl
8.075 8.075 8.075 Tl
4.845 4.845 1.615 N
4.845 1.615 4.845 N
1.615 1.615 1.615 N
1.615 4.845 4.845 N
```

Summary:
calculated total energy: -6.56 eV per atom
total magnetization: 0.09 μB/atom

DFT (PBE-GGA) results for an optimized crystal structure of Y3TlN.

Geometry as POSCAR:
```
Y3TlN
1.0
-3.067 1.755 -1.842
1.538 -3.372 -1.463
-12.039 -10.039 10.484
Y N Tl
6 2 2
Cartesian
-10.589 -10.495 7.634 Y
-6.105 -3.767 2.266 Y
-2.979 -1.161 -0.455 Y
-7.464 -7.889 4.913 Y
-9.029 -7.529 7.863 Y
-3.010 -2.510 2.621 Y
-4.542 -2.464 0.905 N
-9.026 -9.192 6.273 N
0.000 0.000 0.000 Tl
-6.019 -5.019 5.242 Tl
```

Summary:
calculated total energy: -6.64 eV per atom
total magnetization: 0.00 μB/atom

DFT (PBE-GGA) results for an optimized crystal structure of YTl2N2.

Geometry as POSCAR:
```
YTl2N2
1.0
-4.162 0.423 -1.646
-0.892 -4.250 1.163
-3.990 -0.494 3.821
Y Tl N
1 2 2
Cartesian
0.000 0.000 0.000 Y
-6.061 -2.850 2.313 Tl
-2.983 -1.471 1.025 Tl
-3.705 -3.329 2.372 N
-5.339 -0.992 0.967 N
```

Summary:
calculated total energy: -4.80 eV per atom
energy above the lowest structure with this stoichiometry: 0.000 eV/atom
total magnetization: 0.00 μB/atom

DFT (PBE-GGA) results for an optimized crystal structure of YTl3N.

Geometry as POSCAR:
```
YTl3N
1.0
5.908 0.000 0.000
0.000 5.908 0.000
0.000 0.000 5.908
N Tl Y
1 3 1
Cartesian
2.954 2.954 2.954 N
2.954 0.000 0.000 Tl
0.000 2.954 0.000 Tl
0.000 0.000 2.954 Tl
0.000 0.000 0.000 Y
```

Summary:
calculated total energy: -2.71 eV per atom
energy above the lowest structure with this stoichiometry: 1.069 eV/atom
total magnetization: 0.00 μB/atom

DFT (PBE-GGA) results for an optimized crystal structure of Y3TlN.

Geometry as POSCAR:
```
Y3TlN
1.0
4.108 0.000 7.172
-2.054 3.557 7.172
-2.054 -3.557 7.172
N Y Tl
2 6 2
Cartesian
0.000 0.000 5.379 N
0.000 0.000 16.136 N
2.054 -1.432 8.965 Y
2.267 1.062 12.551 Y
-2.054 1.432 12.551 Y
-2.267 -1.062 8.965 Y
-0.214 -2.495 12.551 Y
0.214 2.495 8.965 Y
0.000 0.000 0.000 Tl
0.000 0.000 10.758 Tl
```

Summary:
calculated total energy: -6.43 eV per atom
total magnetization: 0.19 μB/atom

DFT (PBE-GGA) results for an optimized crystal structure of Y3TlN.

Geometry as POSCAR:
```
Y3TlN
1.0
-23.157 9.671 2.920
-2.506 -5.295 -2.337
8.502 -4.758 1.661
N Y Tl
4 12 4
Cartesian
-1.216 -4.398 -1.477 N
-15.945 4.017 3.721 N
-8.611 1.573 1.436 N
-8.550 -1.954 0.809 N
-3.569 -4.695 -1.318 Y
-10.008 -0.361 1.801 Y
-10.437 2.994 2.079 Y
4.826 -5.419 0.920 Y
-16.071 2.533 1.741 Y
-1.090 -2.915 0.503 Y
-13.592 4.314 3.563 Y
-1.129 -6.556 0.284 Y
-6.724 -3.376 0.165 Y
-7.153 -0.020 0.443 Y
-16.033 6.175 1.960 Y
-21.987 5.038 1.324 Y
-20.243 6.877 3.162 Tl
-4.793 -1.140 2.178 Tl
-12.368 0.759 0.066 Tl
3.082 -7.258 -0.917 Tl
```

Summary:
calculated total energy: -6.75 eV per atom
total magnetization: 0.16 μB/atom

DFT (PBE-GGA) results for an optimized crystal structure of Y3TlN.

Geometry as POSCAR:
```
Y3TlN
1.0
-2.626 -3.455 3.908
2.780 -5.445 -2.950
6.057 -2.260 2.069
N Y Tl
2 6 2
Cartesian
3.395 -3.673 1.700 N
2.082 -5.401 3.654 N
5.557 -2.663 1.865 Y
1.233 -4.684 1.536 Y
4.161 -5.781 2.534 Y
5.601 -8.592 1.012 Y
3.968 -4.200 -0.561 Y
2.629 -1.566 0.867 Y
2.573 -7.414 0.021 Tl
6.997 -5.378 0.430 Tl
```

Summary:
calculated total energy: -6.90 eV per atom
total magnetization: 0.17 μB/atom

DFT (PBE-GGA) results for an optimized crystal structure of Y3TlN.

Geometry as POSCAR:
```
Y3TlN
1.0
3.577 0.000 7.705
-1.789 3.098 7.705
-1.789 -3.098 7.705
Y N Tl
6 2 2
Cartesian
0.034 -2.159 10.203 Y
1.853 1.109 10.203 Y
1.887 -1.050 12.911 Y
-1.887 1.050 10.203 Y
-0.034 2.159 12.911 Y
-1.853 -1.109 12.911 Y
0.000 0.000 19.321 N
0.000 0.000 3.794 N
0.000 0.000 7.795 Tl
0.000 0.000 15.319 Tl
```

Summary:
calculated total energy: -6.67 eV per atom
total magnetization: 0.00 μB/atom

DFT (PBE-GGA) results for an optimized crystal structure of Y3TlN.

Geometry as POSCAR:
```
Y3TlN
1.0
-2.074 -7.139 10.225
-2.822 -7.690 0.042
6.035 -0.989 -5.450
Y N Tl
12 4 4
Cartesian
0.260 -13.605 5.492 Y
1.604 -9.400 4.423 Y
0.013 -6.243 4.152 Y
-0.464 -6.418 0.395 Y
2.608 -6.633 -1.283 Y
1.126 -9.576 0.665 Y
-1.175 -3.608 2.238 Y
-1.469 -9.185 6.100 Y
2.314 -12.210 2.579 Y
-2.088 -8.369 2.562 Y
0.879 -2.213 -0.674 Y
3.227 -7.449 2.255 Y
1.983 -7.256 4.068 N
-0.844 -8.563 0.750 N
2.954 -9.879 2.433 N
-1.815 -5.939 2.385 N
-1.042 -11.190 3.816 Tl
-2.407 -13.918 7.384 Tl
3.546 -1.901 -2.566 Tl
2.181 -4.629 1.001 Tl
```

Summary:
calculated total energy: -6.62 eV per atom
total magnetization: 0.00 μB/atom

What is the formula in the eighth record? Y3TlN

Which of these has the highest total magnetization? Tl2ZnWN

total magnetization of number 9 (Y3TlN)? 0.16 μB/atom

Among the records above, which one has the highest calculated total energy? YTl3N